KCr2BiO8 | PBE+U | relaxed

Uncorrected energy ... -6.3410 eV/atom
DOS(E_F) ... 0.00 states/eV per atom
Space-group type ... P-3, No. 147
M_tot ... 0.000 μB per atom
Volume ... 221.0 Å³ per cell

Structure (CIF):
```
data_KCr2BiO8
_cell_length_a 5.6551
_cell_length_b 5.6551
_cell_length_c 7.9797
_cell_angle_alpha 90.00
_cell_angle_beta 90.00
_cell_angle_gamma 120.00
_symmetry_space_group_name_H-M 'P 1'
_symmetry_Int_Tables_number 1
loop_
_symmetry_equiv_pos_as_xyz
'x,y,z'
loop_
_atom_site_label
_atom_site_fract_x
_atom_site_fract_y
_atom_site_fract_z
O1 0.1011 0.3526 0.6879
O2 0.3333 0.6667 0.9586
O3 0.7484 0.1011 0.3121
O4 0.6667 0.3333 0.0414
O5 0.8989 0.6474 0.3121
O6 0.2516 0.8989 0.6879
O7 0.3526 0.2516 0.3121
O8 0.6474 0.7484 0.6879
Cr1 0.3333 0.6667 0.7555
Cr2 0.6667 0.3333 0.2445
K1 0.0000 0.0000 0.0000
Bi1 0.0000 0.0000 0.5000
```